(1)
VASP calculation (PBE-GGA) on TbSb3S6 after structural relaxation.

Output
- ΔE to the lowest computed polymorph: 0.192 eV per atom
- Formation energy (no corrections): -0.520 eV/atom
- DOS at the Fermi energy: 0.271 states/eV per atom

abc: 9.589 13.532 3.998
angles: 90.00 90.00 90.00
Space group Cmmm (No. 65)
Unique sites:
Tb (0.000, 0.000, 0.000) (multiplicity 2)
Sb (0.000, 0.500, 0.000) (multiplicity 2)
Sb (0.250, 0.250, 0.500) (multiplicity 4)
S (0.000, 0.147, 0.500) (multiplicity 4)
S (0.217, 0.381, 0.000) (multiplicity 8)

(2)
VASP calculation (PBE-GGA) on SrMgAl2Au4 after structural relaxation.

Output
- DOS at the Fermi energy: 0.376 states/eV per atom
- ΔH_f (0 K): -0.55 eV per atom

abc: 4.5156 4.5156 27.9508
angles: 90.00 90.00 120.00
Space group R-3m (No. 166, hexagonal axes)
Unique sites:
Sr (0.0000, 0.0000, 0.0000) (multiplicity 3)
Mg (0.0000, 0.0000, 0.5000) (multiplicity 3)
Al (0.0000, 0.0000, 0.2374) (multiplicity 6)
Au (0.0000, 0.0000, 0.1312) (multiplicity 6)
Au (0.0000, 0.0000, 0.4034) (multiplicity 6)

(3)
VASP calculation (PBE-GGA) on LiSmMgBe after structural relaxation.

Output
- DOS at the Fermi energy: 0.417 states/eV per atom
- ΔH_f (0 K): 0.05 eV per atom

abc: 6.789 6.789 6.789
angles: 90.00 90.00 90.00
Space group F-43m (No. 216)
Unique sites:
Li (0.000, 0.000, 0.000) (multiplicity 4)
Sm (0.250, 0.250, 0.250) (multiplicity 4)
Mg (0.250, 0.250, 0.750) (multiplicity 4)
Be (0.000, 0.000, 0.500) (multiplicity 4)

(4)
VASP calculation (PBE-GGA) on B2WCl after structural relaxation.

Output
- ΔE to the lowest computed polymorph: 0.594 eV per atom
- Formation energy (no corrections): 1.913 eV/atom
- DOS at the Fermi energy: 0.514 states/eV per atom

abc: 5.713 5.713 5.713
angles: 90.00 90.00 90.00
Space group Fm-3m (No. 225)
Unique sites:
B (0.250, 0.250, 0.250) (multiplicity 8)
W (0.000, 0.000, 0.000) (multiplicity 4)
Cl (0.000, 0.000, 0.500) (multiplicity 4)

(5)
VASP calculation (PBE-GGA) on CaTmGa6 after structural relaxation.

Output
- DOS at the Fermi energy: 0.407 states/eV per atom
- ΔH_f (0 K): -0.39 eV per atom

abc: 4.425 6.055 5.988
angles: 90.00 90.00 90.00
Space group Pmm2 (No. 25)
Unique sites:
Ca (0.000, 0.000, 0.000) (multiplicity 1)
Tm (0.500, 0.500, 0.220) (multiplicity 1)
Ga (0.000, 0.264, 0.467) (multiplicity 2)
Ga (0.000, 0.500, 0.876) (multiplicity 1)
Ga (0.500, 0.000, 0.362) (multiplicity 1)
Ga (0.500, 0.254, 0.751) (multiplicity 2)

(6)
VASP calculation (PBE-GGA) on PaCdTeO6 after structural relaxation.

Output
- Formation energy (no corrections): -1.869 eV/atom
- DOS at the Fermi energy: 0.588 states/eV per atom

abc: 5.7069 5.7069 9.5328
angles: 90.00 90.00 120.00
Space group P-31c (No. 163)
Unique sites:
Pa (0.3333, 0.6667, 0.2500) (multiplicity 2)
Cd (0.0000, 0.0000, 0.0000) (multiplicity 2)
Te (0.3333, 0.6667, 0.7500) (multiplicity 2)
O (0.0184, 0.3648, 0.6359) (multiplicity 12)

| no. | DFT total energy (eV/atom) |
| --- | --- |
| 1 | -4.697 |
| 2 | -3.529 |
| 3 | -2.943 |
| 4 | -5.125 |
| 5 | -3.469 |
| 6 | -6.680 |